# Pm4NdY2Mg

A relaxed Pm4NdY2Mg crystal (PBE-GGA, Alexandria via LeMat-Bulk).

Values from the calculation:
energy relative to the elements	0.06	eV/atom
total magnetic moment	0.00	μB per cell
symmetry	No. 123
DOS(E_F)	12.3	states/eV/cell

Structure (POSCAR):
```
Pm4NdY2Mg
1.0
5.859 0.000 0.000
0.000 9.613 -0.266
0.000 3.689 4.544
Pm Nd Y Mg
4 1 2 1
Direct
0.000 0.741 0.759
0.000 0.259 0.241
0.500 0.741 0.258
0.500 0.259 0.742
0.000 0.500 0.500
0.000 0.000 0.000
0.500 0.000 0.500
0.500 0.500 0.000
```